VASP calculation (GGA-PBE) on a geometry-optimized YScW structure.

abc: 4.964 4.964 3.093
angles: 90.00 90.00 120.00
Fractional positions:
1 Y 0.000 0.000 0.000
2 Sc 0.667 0.333 0.500
3 W 0.333 0.667 0.500

Calculated values
- E_tot (eV per atom) = -8.207
- relative energy among the computed polymorphs (eV per atom) = 0.082

---

VASP calculation (GGA-PBE) on a geometry-optimized YScW2 structure.

abc: 4.800 4.800 4.800
angles: 60.00 60.00 60.00
Fractional positions:
1 Y 0.000 0.000 0.000
2 Sc 0.750 0.750 0.750
3 W 0.250 0.250 0.250
4 W 0.500 0.500 0.500

Calculated values
- E_tot (eV per atom) = -9.244
- relative energy among the computed polymorphs (eV per atom) = 0.253

---

VASP calculation (GGA-PBE) on a geometry-optimized YScW2 structure.

abc: 2.884 2.884 9.776
angles: 90.00 90.00 106.88
Fractional positions:
1 Y 0.000 0.000 0.000
2 Sc 0.000 0.000 0.500
3 W 0.500 0.500 0.261
4 W 0.500 0.500 0.739

Calculated values
- E_tot (eV per atom) = -9.155
- relative energy among the computed polymorphs (eV per atom) = 0.342

---

VASP calculation (GGA-PBE) on a geometry-optimized YScW2 structure.

abc: 5.637 5.637 5.637
angles: 138.08 138.08 60.78
Fractional positions:
1 Y 0.000 0.000 0.000
2 Sc 0.500 0.500 0.000
3 W 0.250 0.750 0.500
4 W 0.750 0.250 0.500

Calculated values
- E_tot (eV per atom) = -9.121
- relative energy among the computed polymorphs (eV per atom) = 0.376

---

VASP calculation (GGA-PBE) on a geometry-optimized YSc4W structure.

abc: 5.815 5.815 5.815
angles: 60.00 60.00 60.00
Fractional positions:
1 Y 0.000 0.000 0.000
2 Sc 0.378 0.378 0.378
3 Sc 0.378 0.378 0.867
4 Sc 0.378 0.867 0.378
5 Sc 0.867 0.378 0.378
6 W 0.750 0.750 0.750

Calculated values
- E_tot (eV per atom) = -6.835

---

VASP calculation (GGA-PBE) on a geometry-optimized YScW structure.

abc: 5.066 5.917 5.937
angles: 62.94 64.92 64.70
Fractional positions:
1 Y 0.000 0.000 0.000
2 Y 0.275 0.086 0.366
3 Sc 0.370 0.497 0.756
4 Sc 0.649 0.548 0.153
5 W 0.684 0.989 0.646
6 W 0.938 0.571 0.544

Calculated values
- E_tot (eV per atom) = -8.286
- relative energy among the computed polymorphs (eV per atom) = 0.002

---

VASP calculation (GGA-PBE) on a geometry-optimized ScZn2W structure.

abc: 4.522 4.522 4.522
angles: 60.00 60.00 60.00
Fractional positions:
1 Sc 0.000 0.000 0.000
2 Zn 0.250 0.250 0.250
3 Zn 0.750 0.750 0.750
4 W 0.500 0.500 0.500

Calculated values
- E_tot (eV per atom) = -5.289
- relative energy among the computed polymorphs (eV per atom) = 0.120

---

VASP calculation (GGA-PBE) on a geometry-optimized Sc2ZnW structure.

abc: 2.958 4.234 5.965
angles: 90.00 90.00 90.00
Fractional positions:
1 Sc 0.000 0.000 0.000
2 Sc 0.500 0.500 0.292
3 Zn 0.500 0.500 0.761
4 W 0.000 0.000 0.513

Calculated values
- E_tot (eV per atom) = -6.531

---

VASP calculation (GGA-PBE) on a geometry-optimized Sc2ZnW structure.

abc: 3.008 3.645 6.821
angles: 90.00 90.00 90.00
Fractional positions:
1 Sc 0.000 0.000 0.244
2 Sc 0.000 0.000 0.756
3 Zn 0.500 0.500 0.500
4 W 0.500 0.500 0.000

Calculated values
- E_tot (eV per atom) = -6.699

---

VASP calculation (GGA-PBE) on a geometry-optimized Sc2ZnW structure.

abc: 10.537 10.537 10.537
angles: 16.47 16.47 16.47
Fractional positions:
1 Sc 0.093 0.093 0.093
2 Sc 0.907 0.907 0.907
3 Zn 0.000 0.000 0.000
4 W 0.500 0.500 0.500

Calculated values
- E_tot (eV per atom) = -6.310

---

VASP calculation (GGA-PBE) on a geometry-optimized ScZnW2 structure.

abc: 9.553 9.553 9.553
angles: 17.41 17.41 17.41
Fractional positions:
1 Sc 0.000 0.000 0.000
2 Zn 0.500 0.500 0.500
3 W 0.246 0.246 0.246
4 W 0.754 0.754 0.754

Calculated values
- E_tot (eV per atom) = -7.964

---

VASP calculation (GGA-PBE) on a geometry-optimized Sc2ZnW structure.

abc: 9.500 9.500 9.500
angles: 18.60 18.60 18.60
Fractional positions:
1 Sc 0.250 0.250 0.250
2 Sc 0.750 0.750 0.750
3 Zn 0.000 0.000 0.000
4 W 0.500 0.500 0.500

Calculated values
- E_tot (eV per atom) = -6.553

---

VASP calculation (GGA-PBE) on a geometry-optimized Sc2ZnW structure.

abc: 4.980 4.980 3.021
angles: 90.00 90.00 90.23
Fractional positions:
1 Sc 0.000 0.500 0.000
2 Sc 0.500 0.000 0.000
3 Zn 0.000 0.000 0.500
4 W 0.500 0.500 0.500

Calculated values
- E_tot (eV per atom) = -6.635

---

VASP calculation (GGA-PBE) on a geometry-optimized ScZnW3 structure.

abc: 4.612 4.612 4.612
angles: 90.00 90.00 90.00
Fractional positions:
1 Sc 0.000 0.000 0.000
2 Zn 0.500 0.500 0.500
3 W 0.000 0.500 0.500
4 W 0.500 0.000 0.500
5 W 0.500 0.500 0.000

Calculated values
- E_tot (eV per atom) = -7.674
- relative energy among the computed polymorphs (eV per atom) = 0.000

---

VASP calculation (GGA-PBE) on a geometry-optimized ScZnW2 structure.

abc: 2.775 2.775 9.131
angles: 90.00 90.00 106.25
Fractional positions:
1 Sc 0.000 0.000 0.000
2 Zn 0.500 0.500 0.741
3 W 0.000 0.000 0.502
4 W 0.500 0.500 0.261

Calculated values
- E_tot (eV per atom) = -8.229

---

VASP calculation (GGA-PBE) on a geometry-optimized ScZnW4 structure.

abc: 5.345 5.345 5.345
angles: 60.00 60.00 60.00
Fractional positions:
1 Sc 0.000 0.000 0.000
2 Zn 0.250 0.250 0.250
3 W 0.127 0.624 0.624
4 W 0.624 0.127 0.624
5 W 0.624 0.624 0.127
6 W 0.624 0.624 0.624

Calculated values
- E_tot (eV per atom) = -9.533

---

VASP calculation (GGA-PBE) on a geometry-optimized ScZnW structure.

abc: 6.858 6.858 6.858
angles: 156.51 156.51 33.46
Fractional positions:
1 Sc 0.000 0.000 0.000
2 Zn 0.330 0.330 0.000
3 W 0.675 0.675 0.000

Calculated values
- E_tot (eV per atom) = -6.753
- relative energy among the computed polymorphs (eV per atom) = 0.000

---

VASP calculation (GGA-PBE) on a geometry-optimized ScZnW2 structure.

abc: 3.272 3.272 6.399
angles: 90.00 90.00 90.00
Fractional positions:
1 Sc 0.000 0.000 0.000
2 Zn 0.500 0.500 0.734
3 W 0.000 0.000 0.489
4 W 0.500 0.500 0.280

Calculated values
- E_tot (eV per atom) = -8.319

---

VASP calculation (GGA-PBE) on a geometry-optimized ScZn2W structure.

abc: 2.800 2.800 8.377
angles: 90.00 90.00 90.00
Fractional positions:
1 Sc 0.000 0.000 0.000
2 Zn 0.000 0.000 0.515
3 Zn 0.500 0.500 0.737
4 W 0.500 0.500 0.274

Calculated values
- E_tot (eV per atom) = -5.402
- relative energy among the computed polymorphs (eV per atom) = 0.008

---

VASP calculation (GGA-PBE) on a geometry-optimized ScZn2W structure.

abc: 2.916 3.962 5.796
angles: 90.00 90.00 90.00
Fractional positions:
1 Sc 0.000 0.000 0.000
2 Zn 0.000 0.000 0.495
3 Zn 0.500 0.500 0.735
4 W 0.500 0.500 0.258

Calculated values
- E_tot (eV per atom) = -5.283
- relative energy among the computed polymorphs (eV per atom) = 0.126

---

The following energy relative to the elements values (in meV per atom) correspond, in order, to the records above: 376 431 520 554 622 296 169 191 24 413 414 170 88 1619 149 370 100 59 56 175.